i:
First-principles (PBE-GGA) data for a relaxed BeTeSCl2 crystal, as listed in Alexandria.

Cell: 5.307 5.307 5.121 Å, 90.00 90.00 90.00°
Space group P4/mmm (No. 123)
Inequivalent atoms, fractional coordinates:
Be1 0.000 0.000 0.000 (multiplicity 1)
Te1 0.500 0.500 0.500 (multiplicity 1)
S1 0.500 0.500 0.000 (multiplicity 1)
Cl1 0.000 0.500 0.500 (multiplicity 2)

Summary:
- Total magnetization: 0.429 μB/f.u.

=====

ii:
First-principles (PBE-GGA) data for a relaxed BeTeSCl2 crystal, as listed in Alexandria.

Cell: 4.102 4.102 7.592 Å, 90.00 90.00 90.00°
Space group P4/mmm (No. 123)
Inequivalent atoms, fractional coordinates:
Be1 0.000 0.000 0.000 (multiplicity 1)
Te1 0.500 0.500 0.500 (multiplicity 1)
S1 0.000 0.000 0.500 (multiplicity 1)
Cl1 0.000 0.500 0.000 (multiplicity 2)

Summary:
- Total magnetization: 0.000 μB/f.u.

=====

Of them, i has the lowest stability.

=====

i:
First-principles (PBE-GGA) data for a relaxed TiBeSCl2 crystal, as listed in Alexandria.

Cell: 4.809 4.809 4.727 Å, 90.00 90.00 90.00°
Space group P4/mmm (No. 123)
Inequivalent atoms, fractional coordinates:
Ti1 0.000 0.000 0.000 (multiplicity 1)
Be1 0.500 0.500 0.500 (multiplicity 1)
S1 0.000 0.000 0.500 (multiplicity 1)
Cl1 0.000 0.500 0.000 (multiplicity 2)

Summary:
- Total magnetization: 0.000 μB/f.u.

=====

ii:
First-principles (PBE-GGA) data for a relaxed TiBeSCl2 crystal, as listed in Alexandria.

Cell: 4.212 4.212 5.089 Å, 90.00 90.00 90.00°
Space group P4/mmm (No. 123)
Inequivalent atoms, fractional coordinates:
Ti1 0.000 0.000 0.000 (multiplicity 1)
Be1 0.500 0.500 0.500 (multiplicity 1)
S1 0.500 0.500 0.000 (multiplicity 1)
Cl1 0.000 0.500 0.500 (multiplicity 2)

Summary:
- Total magnetization: 2.000 μB/f.u.

=====

Of them, i has the lowest stability.

=====

i:
First-principles (PBE-GGA) data for a relaxed BeTlS2Cl crystal, as listed in Alexandria.

Cell: 4.210 4.210 6.503 Å, 90.00 90.00 90.00°
Space group P4/mmm (No. 123)
Inequivalent atoms, fractional coordinates:
Be1 0.000 0.000 0.000 (multiplicity 1)
Tl1 0.500 0.500 0.500 (multiplicity 1)
S1 0.000 0.500 0.000 (multiplicity 2)
Cl1 0.000 0.000 0.500 (multiplicity 1)

Summary:
- Total magnetization: 0.155 μB/f.u.

=====

ii:
First-principles (PBE-GGA) data for a relaxed BeTlS2Cl crystal, as listed in Alexandria.

Cell: 5.135 5.135 5.202 Å, 90.00 90.00 90.00°
Space group P4/mmm (No. 123)
Inequivalent atoms, fractional coordinates:
Be1 0.000 0.000 0.000 (multiplicity 1)
Tl1 0.500 0.500 0.500 (multiplicity 1)
S1 0.000 0.500 0.500 (multiplicity 2)
Cl1 0.500 0.500 0.000 (multiplicity 1)

Summary:
- Total magnetization: 0.000 μB/f.u.

=====

Of them, ii has the lowest stability.